# 1
# TiTc2GeB

A geometry-optimized TiTc2GeB structure (PBE, Alexandria).

Computed properties:
- uncorrected energy (eV/atom) = -5.96

Unit cell a=4.543 b=4.745 c=4.543 alpha=90.00 beta=90.00 gamma=90.00
Sites, in units of the cell vectors:
Ge1 0.000 0.500 0.000
Tc1 0.000 0.000 0.500
Tc2 0.500 0.000 0.000
B1 0.500 0.500 0.500
Ti1 0.000 0.000 0.000



# 2
# TbSmDy3Tm

A geometry-optimized TbSmDy3Tm structure (PBE, Alexandria).

Computed properties:
- uncorrected energy (eV/atom) = -4.59

Unit cell a=5.013 b=7.936 c=10.051 alpha=90.00 beta=90.00 gamma=108.41
Sites, in units of the cell vectors:
Dy1 0.333 0.666 0.500
Dy2 0.168 0.336 0.750
Dy3 0.832 0.664 0.250
Dy4 0.667 0.334 0.500
Sm1 0.500 0.999 0.750
Tm1 0.168 0.335 0.250
Tm2 0.832 0.665 0.750
Dy5 0.667 0.334 0.000
Tb1 0.000 0.000 0.000
Sm2 0.500 0.001 0.250
Dy6 0.333 0.666 0.000
Tb2 0.000 0.000 0.500



# 3
# LiInHgPb2

A geometry-optimized LiInHgPb2 structure (PBE, Alexandria).

Computed properties:
- excess energy over the best structure of this formula in the dataset (eV/f.u.) = 2.19

Unit cell a=5.801 b=5.587 c=5.801 alpha=90.00 beta=90.00 gamma=90.00
Sites, in units of the cell vectors:
Pb1 0.000 0.000 0.500
Li1 0.500 0.500 0.500
In1 0.000 0.500 0.000
Hg1 0.000 0.000 0.000
Pb2 0.500 0.000 0.000